The following is a GGA-PBEsol calculation of CuAuBr2 after structural relaxation, from Alexandria.

The structure in extended XYZ format:
```
4
Lattice="1.7747 -3.2802 0.0000 1.7747 3.2802 0.0000 0.0000 0.0000 7.5823" Properties=species:S:1:pos:R:3 pbc="T T T"
Cu 0.0000 0.0000 0.0000
Au 0.0000 0.0000 3.7912
Br 1.7747 0.0000 1.7099
Br 1.7747 0.0000 5.8724
```

- Density: 7.91 Mg/m³
- M_tot: 0.0 μB/f.u.
- Uncorrected formation energy: 172 meV per atom
- Energy relative to the lowest polymorph listed for this composition: 167.4 meV per atom
- Symmetry: Cmmm